Entry 1:
YMnBi3 | PBE | optimized geometry

Results
Magnetic moment   0.00 μB per formula unit
Distance to the lowest polymorph of the same formula   0.0 meV/atom
Energy relative to the elements   0.3382 eV per atom
Volume   28.37 A^3/atom
Symmetry   Pm-3m (221)

Cell and atoms, written as extended XYZ:
```
5
Lattice="5.215 0.000 0.000 0.000 5.215 0.000 0.000 0.000 5.215" Properties=species:S:1:pos:R:3 pbc="T T T"
Y 2.608 2.608 2.608
Mn 0.000 0.000 0.000
Bi 0.000 2.608 0.000
Bi 0.000 0.000 2.608
Bi 2.608 0.000 0.000
```

Entry 2:
KMgBr2 | PBE | optimized geometry

Results
Magnetic moment   0.00 μB per formula unit
Distance to the lowest polymorph of the same formula   87.0 meV/atom
Volume   32.01 A^3/atom
Symmetry   Imm2 (44)
Uncorrected formation energy   -1059 meV/atom

Cell and atoms, written as extended XYZ:
```
4
Lattice="7.868 0.011 0.001 5.614 5.512 -0.001 -6.628 -3.037 2.957" Properties=species:S:1:pos:R:3 pbc="T T T"
Br 0.800 0.328 0.000
Br 4.274 -0.016 1.479
K 6.093 2.496 0.000
Mg 2.428 2.440 1.478
```

Entry 3:
Fe2ReRu | PBE | optimized geometry

Results
Magnetic moment   5.67 μB per formula unit
Energy relative to the elements   0.2001 eV per atom
Volume   13.39 A^3/atom
Symmetry   F-43m (216)

Cell and atoms, written as extended XYZ:
```
4
Lattice="-2.347 1.705 3.080 -2.762 -2.397 2.128 0.750 -1.013 4.039" Properties=species:S:1:pos:R:3 pbc="T T T"
Fe 0.000 0.000 0.000
Fe -1.090 -0.426 2.312
Re -2.179 -0.852 4.623
Ru -3.269 -1.278 6.935
```

Entry 4:
ThTl4Se4 | PBE | optimized geometry

Results
Magnetic moment   0.00 μB per formula unit
Volume   33.69 A^3/atom
Symmetry   C2/m (12)
Uncorrected formation energy   -887 meV/atom

Cell and atoms, written as extended XYZ:
```
9
Lattice="-3.575 1.607 1.973 -4.760 -5.943 1.096 1.362 -2.501 9.386" Properties=species:S:1:pos:R:3 pbc="T T T"
Th -1.787 0.804 0.986
Tl -3.965 -1.660 3.928
Tl -6.403 -4.133 6.403
Tl -3.008 -5.177 8.527
Tl -0.569 -2.704 6.051
Se -1.022 -0.520 3.451
Se -5.950 -6.317 9.004
Se -3.229 -2.496 10.821
Se -3.743 -4.341 1.633
```

Question: Which formula does entry 1 have?
Answer: YMnBi3